# CrTe2O PBE+U relaxed
# mass density = 5.25 g/cm³
# calculated volume = 25.5 Å³ per atom
# uncorrected energy = -0.337 Ry per atom
data_CrTe2O
_cell_length_a 5.600
_cell_length_b 5.600
_cell_length_c 13.029
_cell_angle_alpha 90.00
_cell_angle_beta 90.00
_cell_angle_gamma 90.00
_symmetry_space_group_name_H-M 'I -4 2 d'
_symmetry_Int_Tables_number 122
_symmetry_space_group_name_Hall 'I -4 2bw'
loop_
_atom_site_label
_atom_site_type_symbol
_atom_site_fract_x
_atom_site_fract_y
_atom_site_fract_z
Cr1 Cr 0.000 0.000 0.000
Te1 Te 0.162 0.250 0.625
O1 O 0.000 0.000 0.500